No. 1
A geometry-optimized AlAg3O structure. Source: the Alexandria database, functional PBE.

DOS(E_F) = 3.51 states/eV per cell
Offset from the most stable computed form = 0.7673 eV/atom
Uncorrected formation energy = 960 meV per atom
Raw total energy = -2.491 eV/atom

a b c (Å): 4.821 4.821 4.821
angles (deg): 90.00 90.00 90.00
Fractional coordinates of all 5 atoms:
1 Al 0.000 0.000 0.000
2 Ag 0.000 0.000 0.500
3 Ag 0.000 0.500 0.000
4 Ag 0.500 0.000 0.000
5 O 0.500 0.500 0.500

***

No. 2
A geometry-optimized Ca4N structure. Source: the Alexandria database, functional PBE.

DOS(E_F) = 4.10 states/eV per cell
Offset from the most stable computed form = 0.0899 eV/atom
Uncorrected formation energy = -262 meV per atom
Raw total energy = -3.528 eV/atom

a b c (Å): 5.180 5.180 5.180
angles (deg): 90.00 90.00 90.00
Fractional coordinates of all 5 atoms:
1 Ca 0.000 0.000 0.000
2 Ca 0.000 0.500 0.500
3 Ca 0.500 0.000 0.500
4 Ca 0.500 0.500 0.000
5 N 0.500 0.500 0.500

***

Please write out number 1 again, unchanged.
A geometry-optimized AlAg3O structure. Source: the Alexandria database, functional PBE.

DOS(E_F) = 3.51 states/eV per cell
Offset from the most stable computed form = 0.7673 eV/atom
Uncorrected formation energy = 960 meV per atom
Raw total energy = -2.491 eV/atom

a b c (Å): 4.821 4.821 4.821
angles (deg): 90.00 90.00 90.00
Fractional coordinates of all 5 atoms:
1 Al 0.000 0.000 0.000
2 Ag 0.000 0.000 0.500
3 Ag 0.000 0.500 0.000
4 Ag 0.500 0.000 0.000
5 O 0.500 0.500 0.500

***

Question: Look up the offset from the most stable computed form of the second one.
Answer: 0.0899 eV/atom